# 1
## KNaGe2 (PBE)

Data for crystalline KNaGe2 at its relaxed geometry.

The calculation puts the formation energy at -0.116 eV per atom. The calculation puts the spin magnetization at 0.00 μB/f.u. The total energy comes out at -48.456 eV/cell.

Unit cell a=7.839 b=7.077 c=8.909 alpha=90.00 beta=90.00 gamma=90.00
Element x y z (fractional)
K1 0.006 0.250 0.169
K2 0.494 0.750 0.669
K3 0.506 0.250 0.331
K4 0.994 0.750 0.831
Na1 0.188 0.750 0.315
Na2 0.312 0.250 0.815
Na3 0.688 0.750 0.185
Na4 0.812 0.250 0.685
Ge1 0.141 0.078 0.535
Ge2 0.141 0.422 0.535
Ge3 0.359 0.578 0.035
Ge4 0.359 0.922 0.035
Ge5 0.641 0.078 0.965
Ge6 0.641 0.422 0.965
Ge7 0.859 0.578 0.465
Ge8 0.859 0.922 0.465

# 2
## K2NaGeO4 (PBE)

Data for crystalline K2NaGeO4 at its relaxed geometry.

For the uncorrected formation energy, the calculation gives -11.46 eV/f.u. The calculation puts the spin magnetization at 1.01 μB/f.u. The total energy comes out at -78.857 eV/cell.

Unit cell a=6.633 b=6.633 c=6.167 alpha=90.00 beta=90.00 gamma=90.00
Element x y z (fractional)
K1 0.000 0.500 0.000
K2 0.000 0.500 0.500
K3 0.500 0.000 0.000
K4 0.500 0.000 0.500
Na1 0.000 0.000 0.000
Na2 0.500 0.500 0.500
Ge1 0.000 0.000 0.500
Ge2 0.500 0.500 0.000
O1 0.147 0.147 0.314
O2 0.147 0.853 0.686
O3 0.353 0.353 0.814
O4 0.353 0.647 0.186
O5 0.647 0.353 0.186
O6 0.647 0.647 0.814
O7 0.853 0.147 0.686
O8 0.853 0.853 0.314

# 3
## KNa2GePb (PBE)

Data for crystalline KNa2GePb at its relaxed geometry.

The calculation puts the formation energy at 0.040 eV per atom. The calculation puts the spin magnetization at 0.00 μB/f.u. The total energy comes out at -11.859 eV/cell.

Unit cell a=5.729 b=5.729 c=5.701 alpha=90.00 beta=90.00 gamma=90.00
Element x y z (fractional)
K1 0.000 0.000 0.000
Na1 0.000 0.500 0.500
Na2 0.500 0.000 0.500
Ge1 0.500 0.500 0.500
Pb1 0.500 0.500 0.000

# 4
## KNa2GePd (PBE)

Data for crystalline KNa2GePd at its relaxed geometry.

The calculation puts the formation energy at -0.074 eV per atom. The calculation puts the spin magnetization at 0.00 μB/f.u. The total energy comes out at -13.915 eV/cell.

Unit cell a=5.622 b=5.622 c=4.797 alpha=90.00 beta=90.00 gamma=90.00
Element x y z (fractional)
K1 0.000 0.000 0.000
Na1 0.000 0.500 0.500
Na2 0.500 0.000 0.500
Ge1 0.500 0.500 0.500
Pd1 0.500 0.500 0.000

# 5
## KNa2GePd (PBE)

Data for crystalline KNa2GePd at its relaxed geometry.

The calculation puts the formation energy at -0.153 eV per atom. The calculation puts the spin magnetization at 0.00 μB/f.u. The total energy comes out at -14.313 eV/cell.

Unit cell a=5.569 b=5.569 c=4.788 alpha=90.00 beta=90.00 gamma=90.00
Element x y z (fractional)
K1 0.000 0.000 0.000
Na1 0.000 0.500 0.500
Na2 0.500 0.000 0.500
Ge1 0.500 0.500 0.000
Pd1 0.500 0.500 0.500

# 6
## KNaGePt (PBE)

Data for crystalline KNaGePt at its relaxed geometry.

The calculation puts the formation energy at -0.293 eV per atom. The calculation puts the spin magnetization at 0.00 μB/f.u. The total energy comes out at -42.739 eV/cell.

Unit cell a=4.278 b=4.278 c=24.010 alpha=90.00 beta=90.00 gamma=120.00
Element x y z (fractional)
K1 0.000 0.000 0.000
K2 0.333 0.667 0.667
K3 0.667 0.333 0.333
Na1 0.000 0.000 0.821
Na2 0.333 0.667 0.487
Na3 0.667 0.333 0.154
Ge1 0.000 0.000 0.232
Ge2 0.333 0.667 0.899
Ge3 0.667 0.333 0.566
Pt1 0.000 0.000 0.565
Pt2 0.333 0.667 0.232
Pt3 0.667 0.333 0.898